(1)
A relaxed ErBeGa2Ni4 crystal, computed with PBE-GGA.

Calculated values
- size of the total moment (μB/f.u.) = 0.0
- VASP energy (eV/atom) = -5.13
- energy relative to the elements (meV/atom) = -450

a = 8.198 Å, b = 8.198 Å, c = 8.198 Å
α = 28.24°, β = 28.24°, γ = 28.24°
Element x y z (fractional)
1 Er 0.000 0.000 0.000
2 Be 0.500 0.500 0.500
3 Ga 0.241 0.241 0.241
4 Ga 0.759 0.759 0.759
5 Ni 0.135 0.135 0.135
6 Ni 0.408 0.408 0.408
7 Ni 0.592 0.592 0.592
8 Ni 0.865 0.865 0.865

---

(2)
A relaxed Er2BeGa4Pd3 crystal, computed with PBE-GGA.

Calculated values
- size of the total moment (μB/f.u.) = 0.0
- VASP energy (eV/atom) = -4.70
- energy relative to the elements (meV/atom) = -650

a = 3.961 Å, b = 3.961 Å, c = 11.374 Å
α = 90.00°, β = 90.00°, γ = 90.00°
Element x y z (fractional)
1 Er 0.000 0.500 0.242
2 Er 0.500 0.000 0.758
3 Be 0.500 0.500 0.000
4 Ga 0.000 0.000 0.500
5 Ga 0.000 0.500 0.869
6 Ga 0.500 0.000 0.131
7 Ga 0.500 0.500 0.500
8 Pd 0.000 0.000 0.000
9 Pd 0.000 0.500 0.648
10 Pd 0.500 0.000 0.352

---

(3)
A relaxed ErBeGa2Pd4 crystal, computed with PBE-GGA.

Calculated values
- size of the total moment (μB/f.u.) = 0.0
- VASP energy (eV/atom) = -5.08
- energy relative to the elements (meV/atom) = -694

a = 8.256 Å, b = 8.256 Å, c = 8.256 Å
α = 30.40°, β = 30.40°, γ = 30.40°
Element x y z (fractional)
1 Er 0.000 0.000 0.000
2 Be 0.500 0.500 0.500
3 Ga 0.245 0.245 0.245
4 Ga 0.755 0.755 0.755
5 Pd 0.134 0.134 0.134
6 Pd 0.403 0.403 0.403
7 Pd 0.597 0.597 0.597
8 Pd 0.866 0.866 0.866

---

(4)
A relaxed Er2BeGaPt6 crystal, computed with PBE-GGA.

Calculated values
- size of the total moment (μB/f.u.) = 0.0
- VASP energy (eV/atom) = -6.09
- energy relative to the elements (meV/atom) = -878

a = 5.631 Å, b = 5.631 Å, c = 7.376 Å
α = 112.29°, β = 112.29°, γ = 60.04°
Element x y z (fractional)
1 Er 0.209 0.209 0.127
2 Er 0.791 0.791 0.873
3 Be 0.000 0.000 0.500
4 Ga 0.500 0.500 0.000
5 Pt 0.241 0.241 0.713
6 Pt 0.241 0.732 0.713
7 Pt 0.268 0.759 0.287
8 Pt 0.732 0.241 0.713
9 Pt 0.759 0.268 0.287
10 Pt 0.759 0.759 0.287

---

(5)
A relaxed ErBeGaPt3 crystal, computed with PBE-GGA.

Calculated values
- size of the total moment (μB/f.u.) = 0.0
- VASP energy (eV/atom) = -5.60
- energy relative to the elements (meV/atom) = -693

a = 6.698 Å, b = 6.698 Å, c = 5.459 Å
α = 90.00°, β = 90.00°, γ = 118.63°
Element x y z (fractional)
1 Er 0.197 0.803 0.750
2 Er 0.803 0.197 0.250
3 Be 0.118 0.882 0.250
4 Be 0.882 0.118 0.750
5 Ga 0.454 0.546 0.750
6 Ga 0.546 0.454 0.250
7 Pt 0.201 0.201 0.000
8 Pt 0.201 0.201 0.500
9 Pt 0.312 0.688 0.250
10 Pt 0.688 0.312 0.750
11 Pt 0.799 0.799 0.000
12 Pt 0.799 0.799 0.500

---

(6)
A relaxed Er2Be4GaPt3 crystal, computed with PBE-GGA.

Calculated values
- size of the total moment (μB/f.u.) = 0.0
- VASP energy (eV/atom) = -5.29
- energy relative to the elements (meV/atom) = -767

a = 3.953 Å, b = 3.953 Å, c = 9.744 Å
α = 90.00°, β = 90.00°, γ = 90.00°
Element x y z (fractional)
1 Er 0.000 0.500 0.248
2 Er 0.500 0.000 0.752
3 Be 0.000 0.000 0.000
4 Be 0.000 0.500 0.637
5 Be 0.500 0.000 0.363
6 Be 0.500 0.500 0.000
7 Ga 0.000 0.000 0.500
8 Pt 0.000 0.500 0.876
9 Pt 0.500 0.000 0.124
10 Pt 0.500 0.500 0.500

---

(7)
A relaxed Er2BeGa3Pt4 crystal, computed with PBE-GGA.

Calculated values
- size of the total moment (μB/f.u.) = 0.0
- VASP energy (eV/atom) = -5.50
- energy relative to the elements (meV/atom) = -892

a = 4.048 Å, b = 4.048 Å, c = 10.885 Å
α = 90.00°, β = 90.00°, γ = 90.00°
Element x y z (fractional)
1 Er 0.000 0.500 0.237
2 Er 0.500 0.000 0.763
3 Be 0.500 0.500 0.000
4 Ga 0.000 0.000 0.000
5 Ga 0.000 0.500 0.640
6 Ga 0.500 0.000 0.360
7 Pt 0.000 0.000 0.500
8 Pt 0.000 0.500 0.867
9 Pt 0.500 0.000 0.133
10 Pt 0.500 0.500 0.500

---

(8)
A relaxed Er2BeGa4Pt3 crystal, computed with PBE-GGA.

Calculated values
- size of the total moment (μB/f.u.) = 0.0
- VASP energy (eV/atom) = -5.10
- energy relative to the elements (meV/atom) = -795

a = 3.987 Å, b = 3.987 Å, c = 11.268 Å
α = 90.00°, β = 90.00°, γ = 90.00°
Element x y z (fractional)
1 Er 0.000 0.500 0.241
2 Er 0.500 0.000 0.759
3 Be 0.500 0.500 0.000
4 Ga 0.000 0.000 0.500
5 Ga 0.000 0.500 0.869
6 Ga 0.500 0.000 0.131
7 Ga 0.500 0.500 0.500
8 Pt 0.000 0.000 0.000
9 Pt 0.000 0.500 0.647
10 Pt 0.500 0.000 0.353

---

(9)
A relaxed Er3BeGa2Ru3 crystal, computed with PBE-GGA.

Calculated values
- size of the total moment (μB/f.u.) = 0.0
- VASP energy (eV/atom) = -6.17
- energy relative to the elements (meV/atom) = -466

a = 7.141 Å, b = 7.141 Å, c = 3.576 Å
α = 90.00°, β = 90.00°, γ = 120.00°
Element x y z (fractional)
1 Er 0.000 0.368 0.000
2 Er 0.368 0.000 0.000
3 Er 0.632 0.632 0.000
4 Be 0.000 0.000 0.000
5 Ga 0.333 0.667 0.500
6 Ga 0.667 0.333 0.500
7 Ru 0.000 0.757 0.500
8 Ru 0.243 0.243 0.500
9 Ru 0.757 0.000 0.500

---

(10)
A relaxed ErBeGa2Ru2 crystal, computed with PBE-GGA.

Calculated values
- size of the total moment (μB/f.u.) = 0.0
- VASP energy (eV/atom) = -5.91
- energy relative to the elements (meV/atom) = -429

a = 4.286 Å, b = 4.286 Å, c = 5.339 Å
α = 90.00°, β = 90.00°, γ = 90.00°
Element x y z (fractional)
1 Er 0.000 0.000 0.000
2 Be 0.000 0.000 0.500
3 Ga 0.500 0.500 0.236
4 Ga 0.500 0.500 0.764
5 Ru 0.000 0.500 0.500
6 Ru 0.500 0.000 0.500

---

(11)
A relaxed SmErBeGa crystal, computed with PBE-GGA.

Calculated values
- size of the total moment (μB/f.u.) = 0.0
- VASP energy (eV/atom) = -4.22
- energy relative to the elements (meV/atom) = -215

a = 4.979 Å, b = 4.979 Å, c = 4.979 Å
α = 60.00°, β = 60.00°, γ = 60.00°
Element x y z (fractional)
1 Sm 0.000 0.000 0.000
2 Er 0.500 0.500 0.500
3 Be 0.250 0.250 0.250
4 Ga 0.750 0.750 0.750

---

(12)
A relaxed YErBeGa crystal, computed with PBE-GGA.

Calculated values
- size of the total moment (μB/f.u.) = 0.0
- VASP energy (eV/atom) = -4.70
- energy relative to the elements (meV/atom) = -256

a = 4.925 Å, b = 4.925 Å, c = 4.925 Å
α = 60.00°, β = 60.00°, γ = 60.00°
Element x y z (fractional)
1 Y 0.000 0.000 0.000
2 Er 0.500 0.500 0.500
3 Be 0.250 0.250 0.250
4 Ga 0.750 0.750 0.750